Density functional theory data (PBE) for a relaxed structure of CuSe2I.

Summary:
The value obtained for the total energy is -12.52 eV/cell. For the mass density, the calculation gives 5.6 g/cm3. The value obtained for the uncorrected formation energy is 24 meV/atom. As for the space group: R-3m, No. 166. As for the magnetic moment: 0.0 μB/cell. Its density of states at the Fermi level is 2.868 states/eV/f.u.

a b c (Å): 8.2781 8.2781 8.2781
angles (deg): 27.06 27.06 27.06
Positions (direct):
Cu 0.0000 0.0000 0.0000
Se 0.3842 0.3842 0.3842
Se 0.6158 0.6158 0.6158
I 0.5000 0.5000 0.5000